(1)
Entry from Alexandria: crystalline PaPOs at its relaxed geometry (PBE).

The structure in POSCAR format:
```
PaPOs
1.0
3.6251 0.0000 0.0000
0.0000 8.4257 0.0000
0.0000 0.0000 8.4257
P Pa Os
4 4 4
Direct
0.5000 0.7654 0.1764 P
0.5000 0.2346 0.8236 P
0.0000 0.1764 0.2346 P
0.0000 0.8236 0.7654 P
0.5000 0.7961 0.5116 Pa
0.0000 0.4884 0.7961 Pa
0.0000 0.5116 0.2039 Pa
0.5000 0.2039 0.4884 Pa
0.5000 0.2889 0.0971 Os
0.0000 0.9029 0.2889 Os
0.0000 0.0971 0.7111 Os
0.5000 0.7111 0.9029 Os
```

Results
M_tot: 0.00 μB/cell
Space group: P4_2/m (84)
Energy of formation from the pure elements: -8.97 kcal/mol of atoms

(2)
Entry from Alexandria: crystalline NbCo2TcH at its relaxed geometry (PBE).

The structure in POSCAR format:
```
NbCo2TcH
1.0
3.7107 0.0000 0.0000
0.0000 3.7107 0.0000
0.0000 0.0000 3.9993
H Nb Co Tc
1 1 2 1
Direct
0.0000 0.0000 0.0000 H
0.0000 0.0000 0.5000 Nb
0.0000 0.5000 0.0000 Co
0.5000 0.0000 0.0000 Co
0.5000 0.5000 0.5000 Tc
```

Results
M_tot: 0.00 μB/cell
Space group: P4/mmm (123)
Relative energy among the computed polymorphs: 39 meV/atom

(3)
Entry from Alexandria: crystalline LaNdDyEr3 at its relaxed geometry (PBE).

The structure in POSCAR format:
```
LaNdDyEr3
1.0
5.6250 0.0000 0.0000
-2.8125 9.7591 1.6395
0.0000 -1.2218 7.0011
La Nd Dy Er
2 2 2 6
Direct
0.3543 0.7086 0.9645 La
0.6457 0.2914 0.0355 La
0.0529 0.1059 0.2669 Nd
0.9471 0.8941 0.7331 Nd
0.6508 0.3015 0.4601 Dy
0.3492 0.6985 0.5399 Dy
0.8348 0.6696 0.2675 Er
0.7789 0.5578 0.7566 Er
0.4760 0.9519 0.2634 Er
0.2211 0.4422 0.2434 Er
0.5240 0.0481 0.7366 Er
0.1652 0.3304 0.7325 Er
```

Results
M_tot: 0.00 μB/cell
Space group: C2/m (12)
Energy of formation from the pure elements: 4.46 kcal/mol of atoms

(4)
Entry from Alexandria: crystalline Mg2TcOs at its relaxed geometry (PBE).

The structure in POSCAR format:
```
Mg2TcOs
1.0
-3.5624 0.5481 -2.5820
-1.5292 -3.9721 1.2417
1.0212 3.0450 3.0566
Mg Os Tc
2 1 1
Direct
0.0000 0.0000 0.0000 Mg
0.2500 0.7500 0.5000 Mg
0.5000 0.5000 0.0000 Os
0.7500 0.2500 0.5000 Tc
```

Results
M_tot: 0.00 μB/cell
Space group: I-4m2 (119)
Relative energy among the computed polymorphs: 78 meV/atom
Energy of formation from the pure elements: 2.19 kcal/mol of atoms

(5)
Entry from Alexandria: crystalline Al2SbTe at its relaxed geometry (PBE).

The structure in POSCAR format:
```
Al2SbTe
1.0
5.8664 -0.0093 0.0066
2.3558 5.3726 -0.0066
-3.4853 -3.6410 3.0017
Sb Te Al
1 1 2
Direct
0.2500 0.7500 0.5000 Sb
0.7500 0.2500 0.5000 Te
0.9976 0.9976 0.0000 Al
0.5024 0.5024 0.0000 Al
```

Results
M_tot: 0.00 μB/cell
Space group: Immm (71)
Relative energy among the computed polymorphs: 365 meV/atom
Raw formation energy: 0.2555 eV per atom

(6)
Entry from Alexandria: crystalline V2NiRh6 at its relaxed geometry (PBE).

The structure in POSCAR format:
```
V2NiRh6
1.0
2.5950 0.0066 -0.6973
-1.4154 11.6826 -5.3685
0.2633 -4.2757 6.2222
V Ni Rh
2 1 6
Direct
0.1877 0.1877 0.3753 V
0.8123 0.8123 0.6247 V
0.0000 0.5000 0.0000 Ni
0.3234 0.4890 0.6447 Rh
0.6766 0.5110 0.3553 Rh
0.6787 0.8443 0.3553 Rh
0.4995 0.1392 0.0000 Rh
0.5005 0.8608 0.0000 Rh
0.3213 0.1557 0.6447 Rh
```

Results
M_tot: 0.00 μB/cell
Space group: C2/m (12)
Energy of formation from the pure elements: -1.96 kcal/mol of atoms

(7)
Entry from Alexandria: crystalline K2RbAuBr at its relaxed geometry (PBE).

The structure in POSCAR format:
```
K2RbAuBr
1.0
-5.1140 0.4861 -3.6521
2.0015 -4.8790 -3.4521
-3.2540 -4.1664 4.0020
K Au Br Rb
2 1 1 1
Direct
0.0000 0.5000 0.0000 K
0.5000 0.0000 0.0000 K
0.0000 0.0000 0.0000 Au
0.5000 0.5000 0.5000 Br
0.0000 0.0000 0.5000 Rb
```

Results
M_tot: 0.00 μB/cell
Space group: P4/mmm (123)
Raw formation energy: -0.5652 eV per atom

(8)
Entry from Alexandria: crystalline Ta2Al2Pt at its relaxed geometry (PBE).

The structure in POSCAR format:
```
Ta2Al2Pt
1.0
-6.2156 1.0913 -0.1275
-0.9729 -5.1262 3.5519
0.3359 2.3140 3.4316
Al Pt Ta
4 2 4
Direct
0.3600 0.8600 0.0000 Al
0.8600 0.6400 0.0000 Al
0.6400 0.1400 0.0000 Al
0.1400 0.3600 0.0000 Al
0.0000 0.0000 0.0000 Pt
0.5000 0.5000 0.0000 Pt
0.1572 0.6572 0.5000 Ta
0.6572 0.8428 0.5000 Ta
0.8428 0.3428 0.5000 Ta
0.3428 0.1572 0.5000 Ta
```

Results
M_tot: 0.00 μB/cell
Space group: P4/mbm (127)
Energy of formation from the pure elements: -9.38 kcal/mol of atoms

(9)
Entry from Alexandria: crystalline ZnCu2Te at its relaxed geometry (PBE).

The structure in POSCAR format:
```
ZnCu2Te
1.0
8.0559 0.0433 0.0257
7.3983 3.1882 0.0257
7.3983 1.5470 2.7879
Cu Te Zn
2 1 1
Direct
0.0066 0.0066 0.0066 Cu
0.4934 0.4934 0.4934 Cu
0.2500 0.2500 0.2500 Te
0.7500 0.7500 0.7500 Zn
```

Results
M_tot: 0.00 μB/cell
Space group: R-3m (166)
Relative energy among the computed polymorphs: 234 meV/atom
Raw formation energy: 0.3196 eV per atom

(10)
Entry from Alexandria: crystalline TbIn6 at its relaxed geometry (PBE).

The structure in POSCAR format:
```
TbIn6
1.0
-3.2748 -6.0534 -0.2922
2.3030 1.6700 -6.2738
5.3217 -0.4758 4.3481
Tb In
1 6
Direct
0.0000 0.0000 0.0000 Tb
0.2500 0.7500 0.5000 In
0.5000 0.7500 0.2500 In
0.2500 0.5000 0.7500 In
0.7500 0.2500 0.5000 In
0.5000 0.2500 0.7500 In
0.7500 0.5000 0.2500 In
```

Results
M_tot: 0.00 μB/cell
Space group: Im-3m (229)
Energy of formation from the pure elements: 10.79 kcal/mol of atoms

(11)
Entry from Alexandria: crystalline Pr3SmDy6Y2 at its relaxed geometry (PBE).

The structure in POSCAR format:
```
Pr3SmDy6Y2
1.0
6.2393 -0.0001 0.0024
-3.1183 5.4042 0.0024
-1.0415 -1.8033 11.7102
Pr Sm Dy Y
3 1 6 2
Direct
0.1669 0.8331 0.5000 Pr
0.8331 0.1669 0.5000 Pr
0.5000 0.5000 0.5000 Pr
0.0000 0.0000 0.0000 Sm
0.9174 0.5844 0.7531 Dy
0.7495 0.7495 0.2470 Dy
0.0826 0.4156 0.2469 Dy
0.5844 0.9174 0.7531 Dy
0.2505 0.2505 0.7530 Dy
0.4156 0.0826 0.2469 Dy
0.3333 0.6667 0.0000 Y
0.6667 0.3333 0.0000 Y
```

Results
M_tot: 0.00 μB/cell
Space group: C2/m (12)
Energy of formation from the pure elements: 0.42 kcal/mol of atoms

(12)
Entry from Alexandria: crystalline Rb4Nd3TmS8 at its relaxed geometry (PBE).

The structure in POSCAR format:
```
Rb4Nd3TmS8
1.0
8.3531 0.0000 0.0000
0.0000 9.0844 0.5064
-4.1765 -4.1719 5.9098
Rb Nd Tm S
4 3 1 8
Direct
0.5000 0.0000 0.0000 Rb
0.5000 0.0000 0.5000 Rb
0.0000 0.0000 0.0000 Rb
0.0000 0.0000 0.5000 Rb
0.5000 0.5000 0.0000 Nd
0.5000 0.5000 0.5000 Nd
0.0000 0.5000 0.5000 Nd
0.0000 0.5000 0.0000 Tm
0.2263 0.6941 0.9680 S
0.2263 0.6941 0.4525 S
0.2671 0.3013 0.5341 S
0.7417 0.6941 0.9680 S
0.2583 0.3059 0.0320 S
0.7329 0.6987 0.4659 S
0.7737 0.3059 0.5475 S
0.7737 0.3059 0.0320 S
```

Results
M_tot: 0.00 μB/cell
Space group: R-3m (166)
Raw formation energy: -1.8250 eV per atom

(13)
Entry from Alexandria: crystalline PuTl3I7 at its relaxed geometry (PBE).

The structure in POSCAR format:
```
PuTl3I7
1.0
0.0818 -4.1834 7.0345
1.0663 -7.4871 -3.1301
7.9733 -4.3215 2.1768
Pu Tl I
1 3 7
Direct
0.9531 0.9531 0.0401 Pu
0.7943 0.2209 0.4873 Tl
0.5125 0.5125 0.9044 Tl
0.2209 0.7943 0.4873 Tl
0.1546 0.1546 0.1312 I
0.6221 0.1515 0.2260 I
0.9515 0.3263 0.7381 I
0.1515 0.6221 0.2260 I
0.6346 0.6346 0.4012 I
0.3263 0.9515 0.7381 I
0.8035 0.8035 0.8705 I
```

Results
M_tot: 3.98 μB/cell
Space group: Cm (8)
Raw formation energy: -0.7009 eV per atom

(14)
Entry from Alexandria: crystalline ZrMoI2N at its relaxed geometry (PBE).

The structure in POSCAR format:
```
ZrMoI2N
1.0
-3.8689 -3.1932 3.2228
2.6639 -5.0274 -1.7834
2.4715 0.1902 3.1555
I Mo Zr N
2 1 1 1
Direct
0.0000 0.5000 0.0000 I
0.5000 0.0000 0.0000 I
0.5000 0.5000 0.5000 Mo
0.0000 0.0000 0.0000 Zr
0.0000 0.0000 0.5000 N
```

Results
M_tot: 4.95 μB/cell
Space group: P4/mmm (123)
Relative energy among the computed polymorphs: 24 meV/atom
Raw formation energy: 0.5660 eV per atom

(15)
Entry from Alexandria: crystalline ZrUAs at its relaxed geometry (PBE).

The structure in POSCAR format:
```
ZrUAs
1.0
-4.6298 1.8697 -0.2793
-0.9300 -2.0268 1.8477
1.2181 4.1224 7.4048
Zr U As
2 2 2
Direct
0.7500 0.6807 0.6387 Zr
0.2500 0.3193 0.3613 Zr
0.5000 0.0000 0.0000 U
0.0000 0.0000 0.0000 U
0.7500 0.8434 0.3131 As
0.2500 0.1566 0.6869 As
```

Results
M_tot: 1.59 μB/cell
Space group: Cmcm (63)
Energy of formation from the pure elements: -7.59 kcal/mol of atoms

(16)
Entry from Alexandria: crystalline CsNa3Sn at its relaxed geometry (PBE).

The structure in POSCAR format:
```
CsNa3Sn
1.0
6.1091 0.0000 0.0000
0.0000 6.1091 0.0000
0.0000 0.0000 6.1091
Cs Na Sn
1 3 1
Direct
0.5000 0.5000 0.5000 Cs
0.0000 0.5000 0.0000 Na
0.0000 0.0000 0.5000 Na
0.5000 0.0000 0.0000 Na
0.0000 0.0000 0.0000 Sn
```

Results
M_tot: 0.00 μB/cell
Space group: Pm-3m (221)
Relative energy among the computed polymorphs: 0 meV/atom
Energy of formation from the pure elements: -2.58 kcal/mol of atoms

(17)
Entry from Alexandria: crystalline TaTcPCl2 at its relaxed geometry (PBE).

The structure in POSCAR format:
```
TaTcPCl2
1.0
-0.9989 1.6985 -3.9816
0.2047 -4.5368 -1.9867
-4.3249 -0.5648 0.8441
P Cl Tc Ta
1 2 1 1
Direct
0.0000 0.0000 0.0000 P
0.0000 0.0000 0.5000 Cl
0.5000 0.0000 0.0000 Cl
0.0000 0.5000 0.0000 Tc
0.5000 0.5000 0.5000 Ta
```

Results
M_tot: 1.38 μB/cell
Space group: P4/mmm (123)
Relative energy among the computed polymorphs: 763 meV/atom
Raw formation energy: 1.3723 eV per atom

(18)
Entry from Alexandria: crystalline CeEr4Mg at its relaxed geometry (PBE).

The structure in POSCAR format:
```
CeEr4Mg
1.0
3.5246 0.0000 0.0000
0.0000 3.5246 0.0000
0.0000 0.0000 14.1897
Ce Er Mg
1 4 1
Direct
0.0000 0.0000 0.0000 Ce
0.5000 0.5000 0.1719 Er
0.0000 0.0000 0.6552 Er
0.0000 0.0000 0.3448 Er
0.5000 0.5000 0.8281 Er
0.5000 0.5000 0.5000 Mg
```

Results
M_tot: 0.46 μB/cell
Space group: P4/mmm (123)
Energy of formation from the pure elements: 0.47 kcal/mol of atoms

(19)
Entry from Alexandria: crystalline GaMo at its relaxed geometry (PBE).

The structure in POSCAR format:
```
GaMo
1.0
5.1298 0.0000 0.0000
0.0000 5.1298 0.0000
0.0000 0.0000 5.0675
Ga Mo
4 4
Direct
0.2010 0.7990 0.0000 Ga
0.7010 0.7010 0.5000 Ga
0.2990 0.2990 0.5000 Ga
0.7990 0.2010 0.0000 Ga
0.2993 0.2993 0.0000 Mo
0.7993 0.2007 0.5000 Mo
0.2007 0.7993 0.5000 Mo
0.7007 0.7007 0.0000 Mo
```

Results
M_tot: 0.00 μB/cell
Space group: P4_2/mnm (136)
Relative energy among the computed polymorphs: 525 meV/atom
Energy of formation from the pure elements: 10.10 kcal/mol of atoms

(20)
Entry from Alexandria: crystalline CsZnAg2 at its relaxed geometry (PBE).

The structure in POSCAR format:
```
CsZnAg2
1.0
5.5816 0.0000 0.0000
0.0000 5.5816 0.0000
2.7908 2.7908 8.9755
Cs Zn Ag
2 2 4
Direct
0.0000 0.0000 0.0000 Cs
0.7500 0.2500 0.5000 Cs
0.5000 0.5000 0.0000 Zn
0.2500 0.7500 0.5000 Zn
0.3750 0.1250 0.2500 Ag
0.3750 0.6250 0.2500 Ag
0.3750 0.6250 0.7500 Ag
0.8750 0.6250 0.7500 Ag
```

Results
M_tot: 0.00 μB/cell
Space group: I4_1/amd (141)
Energy of formation from the pure elements: 2.38 kcal/mol of atoms

(21)
Entry from Alexandria: crystalline NaSnGe2S at its relaxed geometry (PBE).

The structure in POSCAR format:
```
NaSnGe2S
1.0
-4.2122 -1.2214 -2.7210
1.8228 -4.3755 -0.8577
-2.2541 -1.7797 4.2884
S Na Ge Sn
1 1 2 1
Direct
0.0000 0.5000 0.0000 S
0.0000 0.0000 0.0000 Na
0.0000 0.0000 0.5000 Ge
0.5000 0.0000 0.0000 Ge
0.5000 0.5000 0.5000 Sn
```

Results
M_tot: 0.00 μB/cell
Space group: P4/mmm (123)
Raw formation energy: 0.7352 eV per atom

(22)
Entry from Alexandria: crystalline In2RuW at its relaxed geometry (PBE).

The structure in POSCAR format:
```
In2RuW
1.0
5.0993 0.0211 0.0000
1.7403 4.7932 0.0000
-3.4198 -2.4071 2.9179
In Ru W
2 1 1
Direct
0.0000 0.0000 0.0000 In
0.2500 0.7500 0.5000 In
0.5000 0.5000 0.0000 Ru
0.7500 0.2500 0.5000 W
```

Results
M_tot: 0.00 μB/cell
Space group: I-4m2 (119)
Relative energy among the computed polymorphs: 350 meV/atom
Energy of formation from the pure elements: 12.51 kcal/mol of atoms

(23)
Entry from Alexandria: crystalline ThAl at its relaxed geometry (PBE).

The structure in POSCAR format:
```
ThAl
1.0
5.7060 0.0000 0.0000
0.0000 6.0098 -0.1047
0.0000 -1.2844 5.8719
Al Th
4 4
Direct
0.7500 0.6862 0.6862 Al
0.2500 0.3138 0.3138 Al
0.5000 0.0000 0.0000 Al
0.0000 0.0000 0.0000 Al
0.7500 0.1475 0.5319 Th
0.2500 0.8525 0.4681 Th
0.7500 0.5319 0.1475 Th
0.2500 0.4681 0.8525 Th
```

Results
M_tot: 0.00 μB/cell
Space group: Cmcm (63)
Energy of formation from the pure elements: -6.94 kcal/mol of atoms

(24)
Entry from Alexandria: crystalline TbLuPuMg at its relaxed geometry (PBE).

The structure in POSCAR format:
```
TbLuPuMg
1.0
5.4170 0.0000 0.0000
2.7085 4.6913 0.0000
2.7085 1.5638 4.4230
Mg Lu Tb Pu
1 1 1 1
Direct
0.0000 0.0000 0.0000 Mg
0.7500 0.7500 0.7500 Lu
0.2500 0.2500 0.2500 Tb
0.5000 0.5000 0.5000 Pu
```

Results
M_tot: 6.26 μB/cell
Space group: F-43m (216)
Energy of formation from the pure elements: 3.47 kcal/mol of atoms

(25)
Entry from Alexandria: crystalline Zr2BeVH at its relaxed geometry (PBE).

The structure in POSCAR format:
```
Zr2BeVH
1.0
-3.5677 1.3458 -2.1834
-1.4116 -4.1533 -0.2535
-1.8067 0.4181 3.2100
Be H Zr V
1 1 2 1
Direct
0.5000 0.5000 0.5000 Be
0.0000 0.0000 0.0000 H
0.0000 0.5000 0.0000 Zr
0.5000 0.0000 0.0000 Zr
0.0000 0.0000 0.5000 V
```

Results
M_tot: 1.10 μB/cell
Space group: P4/mmm (123)
Uncorrected energy: -33.5 eV per cell

(26)
Entry from Alexandria: crystalline LaMnHg at its relaxed geometry (PBE).

The structure in POSCAR format:
```
LaMnHg
1.0
4.8356 0.0000 0.0000
2.4178 4.1878 0.0000
2.4178 1.3959 3.9483
Hg La Mn
1 1 1
Direct
0.0000 0.0000 0.0000 Hg
0.5000 0.5000 0.5000 La
0.7500 0.7500 0.7500 Mn
```

Results
M_tot: 3.89 μB/cell
Space group: F-43m (216)
Energy of formation from the pure elements: 3.96 kcal/mol of atoms